1.
RbZr3Be | PBEsol | optimized geometry Values from VASP.

Computed properties:
ΔE_f   89.88 kJ per mole of atoms

The structure in Quantum ESPRESSO input format:
```
&SYSTEM
  ibrav = 0, nat = 5, ntyp = 3
/
ATOMIC_SPECIES
Be 9.01 Be.upf
Zr 91.22 Zr.upf
Rb 85.47 Rb.upf
CELL_PARAMETERS angstrom
-4.355 1.699 -1.584
-2.310 -2.813 3.333
0.244 3.683 3.277
ATOMIC_POSITIONS angstrom
Be 0.000 0.000 0.000
Zr 0.122 1.841 1.639
Zr -1.155 -1.407 1.667
Zr -2.178 0.849 -0.792
Rb -3.210 1.284 2.513
```

=====

2.
B3SbS | PBEsol | optimized geometry Values from VASP.

Computed properties:
Raw formation energy   7.20 eV/f.u.

The structure in Quantum ESPRESSO input format:
```
&SYSTEM
  ibrav = 0, nat = 5, ntyp = 3
/
ATOMIC_SPECIES
B 10.81 B.upf
S 32.06 S.upf
Sb 121.76 Sb.upf
CELL_PARAMETERS angstrom
3.929 0.000 0.000
0.000 3.929 0.000
0.000 0.000 3.929
ATOMIC_POSITIONS angstrom
B 0.000 1.965 0.000
B 0.000 0.000 1.965
B 1.965 0.000 0.000
S 0.000 0.000 0.000
Sb 1.965 1.965 1.965
```

=====

3.
ZnCuNi2 | PBEsol | optimized geometry Values from VASP.

Computed properties:
ΔE_f   -10.27 kJ per mole of atoms

The structure in Quantum ESPRESSO input format:
```
&SYSTEM
  ibrav = 0, nat = 4, ntyp = 3
/
ATOMIC_SPECIES
Zn 65.41 Zn.upf
Ni 58.69 Ni.upf
Cu 63.55 Cu.upf
CELL_PARAMETERS angstrom
3.576 0.000 0.000
0.000 3.576 0.000
-1.788 -1.788 3.476
ATOMIC_POSITIONS angstrom
Zn 1.788 1.788 0.000
Ni 0.000 0.000 0.000
Ni 1.788 0.000 1.738
Cu 0.000 1.788 1.738
```

=====

4.
MnCd2Hg | PBEsol | optimized geometry Values from VASP.

Computed properties:
ΔE_f   24.08 kJ per mole of atoms

The structure in Quantum ESPRESSO input format:
```
&SYSTEM
  ibrav = 0, nat = 4, ntyp = 3
/
ATOMIC_SPECIES
Hg 200.59 Hg.upf
Mn 54.94 Mn.upf
Cd 112.41 Cd.upf
CELL_PARAMETERS angstrom
3.049 0.000 0.000
1.524 2.640 0.000
1.524 0.880 9.483
ATOMIC_POSITIONS angstrom
Hg 3.049 1.760 4.560
Mn 1.524 0.880 2.378
Cd 4.573 2.640 0.173
Cd 4.573 2.640 7.115
```

=====

5.
Re2MoAu | PBEsol | optimized geometry Values from VASP.

Computed properties:
ΔE_f   48.92 kJ per mole of atoms

The structure in Quantum ESPRESSO input format:
```
&SYSTEM
  ibrav = 0, nat = 4, ntyp = 3
/
ATOMIC_SPECIES
Mo 95.94 Mo.upf
Re 186.21 Re.upf
Au 196.97 Au.upf
CELL_PARAMETERS angstrom
4.428 0.000 0.000
2.214 3.835 0.000
2.214 1.278 3.615
ATOMIC_POSITIONS angstrom
Mo 2.214 1.278 0.904
Re 6.642 3.835 2.712
Re 0.000 0.000 0.000
Au 4.428 2.556 1.808
```

=====

6.
Ti2P3O12 | PBEsol | optimized geometry Values from VASP.

Computed properties:
Raw formation energy   -41.43 eV/f.u.

The structure in Quantum ESPRESSO input format:
```
&SYSTEM
  ibrav = 0, nat = 34, ntyp = 3
/
ATOMIC_SPECIES
O 16.00 O.upf
P 30.97 P.upf
Ti 47.87 Ti.upf
CELL_PARAMETERS angstrom
-4.172 7.790 0.185
-8.821 0.572 0.030
-4.476 2.730 7.116
ATOMIC_POSITIONS angstrom
O -7.944 5.640 7.171
O -5.157 4.460 1.113
O -7.834 4.318 1.583
O -12.312 6.632 6.218
O -4.650 3.594 3.631
O -11.213 8.947 5.334
O -6.256 2.145 1.997
O -6.967 3.168 6.605
O -7.315 3.445 4.141
O -10.154 7.647 3.190
O -6.203 5.795 3.236
O -9.651 2.966 0.516
O -9.525 5.453 0.160
O -7.819 8.127 6.815
O -12.819 7.498 3.700
O -9.143 2.502 5.534
O -11.766 3.054 5.085
O -5.703 8.039 2.246
O -11.266 5.298 4.095
O -8.326 8.590 1.798
O -6.130 7.791 4.713
O -10.502 7.924 0.727
O -11.340 3.302 2.618
O -9.635 6.775 5.748
P -7.624 2.557 5.357
P -9.846 8.535 1.974
P -8.758 6.925 7.001
P -5.502 7.141 3.477
P -8.711 4.167 0.330
P -11.967 3.951 3.854
Ti -15.008 9.530 6.299
Ti -2.461 1.563 1.033
Ti -6.274 3.984 2.633
Ti -11.196 7.109 4.698
```

=====

7.
KPb | PBEsol | optimized geometry Values from VASP.

Computed properties:
ΔE_f   -12.07 kJ per mole of atoms

The structure in Quantum ESPRESSO input format:
```
&SYSTEM
  ibrav = 0, nat = 8, ntyp = 2
/
ATOMIC_SPECIES
K 39.10 K.upf
Pb 207.20 Pb.upf
CELL_PARAMETERS angstrom
-1.277 3.255 3.163
-4.778 -4.536 2.739
6.690 -3.341 6.138
ATOMIC_POSITIONS angstrom
K -4.048 -2.195 5.895
K 0.661 -2.570 8.182
K -0.026 -2.051 3.857
K 4.683 -2.427 6.144
Pb -1.308 -4.743 6.109
Pb 1.943 0.121 5.931
Pb -2.587 0.665 3.541
Pb 3.222 -5.287 8.498
```

=====

8.
KFeIr2 | PBEsol | optimized geometry Values from VASP.

Computed properties:
ΔE_f   127.14 kJ per mole of atoms

The structure in Quantum ESPRESSO input format:
```
&SYSTEM
  ibrav = 0, nat = 4, ntyp = 3
/
ATOMIC_SPECIES
Ir 192.22 Ir.upf
K 39.10 K.upf
Fe 55.84 Fe.upf
CELL_PARAMETERS angstrom
3.889 0.000 0.000
0.000 3.889 0.000
0.000 0.000 4.295
ATOMIC_POSITIONS angstrom
Ir 1.944 0.000 0.000
Ir 0.000 1.944 0.000
K 1.944 1.944 2.147
Fe 0.000 0.000 2.147
```

=====

9.
Ca8Zn4Si3Ge5O28 | PBEsol | optimized geometry Values from VASP.

Computed properties:
Raw formation energy   -116.21 eV/f.u.

The structure in Quantum ESPRESSO input format:
```
&SYSTEM
  ibrav = 0, nat = 48, ntyp = 5
/
ATOMIC_SPECIES
Zn 65.41 Zn.upf
Ca 40.08 Ca.upf
O 16.00 O.upf
Ge 72.64 Ge.upf
Si 28.09 Si.upf
CELL_PARAMETERS angstrom
7.925 -0.003 0.005
0.005 8.997 0.002
0.020 3.743 8.609
ATOMIC_POSITIONS angstrom
Zn 4.701 8.339 5.269
Zn 0.766 10.759 7.640
Zn 7.225 1.968 0.976
Zn 3.254 4.409 3.352
Ca 2.250 7.713 8.371
Ca 6.218 2.398 4.530
Ca 4.619 5.680 6.806
Ca 0.673 4.462 6.088
Ca 5.683 4.988 0.250
Ca 3.344 7.082 1.774
Ca 1.740 10.342 4.051
Ca 7.308 8.268 2.577
O 4.317 2.979 0.382
O 0.492 8.895 7.493
O 5.895 1.380 2.357
O 7.344 5.924 2.988
O 1.945 4.977 1.936
O 6.576 4.894 7.982
O 0.613 6.816 5.652
O 1.797 5.261 8.022
O 2.195 7.879 3.702
O 3.153 7.501 6.199
O 4.792 5.250 2.410
O 0.820 1.097 1.900
O 2.040 11.304 6.204
O 4.455 3.350 7.254
O 7.176 11.592 6.668
O 3.496 2.540 3.184
O 6.110 7.414 0.723
O 4.499 10.207 5.450
O 1.418 7.962 0.556
O 2.573 5.345 4.882
O 7.578 9.342 4.691
O 5.739 4.838 4.896
O 3.369 9.439 1.360
O 0.390 3.389 3.926
O 5.381 7.390 3.753
O 6.008 7.767 6.678
O 7.445 3.836 1.155
O 3.619 9.755 8.222
Ge 0.378 4.465 2.545
Ge 7.578 8.280 6.083
Ge 4.326 1.913 1.770
Ge 6.118 12.192 7.948
Ge 3.606 10.820 6.830
Si 5.784 5.806 3.604
Si 2.163 6.930 5.009
Si 1.817 0.549 0.704
```

=====

10.
KTlIn4 | PBEsol | optimized geometry Values from VASP.

Computed properties:
ΔE_f   -4.89 kJ per mole of atoms

The structure in Quantum ESPRESSO input format:
```
&SYSTEM
  ibrav = 0, nat = 6, ntyp = 3
/
ATOMIC_SPECIES
Tl 204.38 Tl.upf
In 114.82 In.upf
K 39.10 K.upf
CELL_PARAMETERS angstrom
6.213 0.000 0.000
3.107 5.381 0.000
3.107 1.794 5.073
ATOMIC_POSITIONS angstrom
Tl 0.000 0.000 0.000
In 7.769 2.689 1.902
In 6.213 5.383 1.902
In 4.658 2.689 1.902
In 6.213 3.587 4.442
K 9.320 5.381 3.805
```

=====

11.
YMn3Pb | PBEsol | optimized geometry Values from VASP.

Computed properties:
ΔE_f   154.24 kJ per mole of atoms

The structure in Quantum ESPRESSO input format:
```
&SYSTEM
  ibrav = 0, nat = 5, ntyp = 3
/
ATOMIC_SPECIES
Y 88.91 Y.upf
Mn 54.94 Mn.upf
Pb 207.20 Pb.upf
CELL_PARAMETERS angstrom
4.868 0.000 0.000
0.000 4.868 0.000
0.000 0.000 4.868
ATOMIC_POSITIONS angstrom
Y 0.000 0.000 0.000
Mn 0.000 0.000 2.434
Mn 2.434 0.000 0.000
Mn 0.000 2.434 0.000
Pb 2.434 2.434 2.434
```

=====

12.
CuNiW2N | PBEsol | optimized geometry Values from VASP.

Computed properties:
Raw formation energy   0.18 eV/f.u.

The structure in Quantum ESPRESSO input format:
```
&SYSTEM
  ibrav = 0, nat = 5, ntyp = 4
/
ATOMIC_SPECIES
W 183.84 W.upf
N 14.01 N.upf
Cu 63.55 Cu.upf
Ni 58.69 Ni.upf
CELL_PARAMETERS angstrom
-1.559 -1.816 2.842
3.522 -1.810 0.776
1.005 3.020 2.481
ATOMIC_POSITIONS angstrom
W 1.761 -0.905 0.388
W 0.502 1.510 1.240
N 0.000 0.000 0.000
Cu 1.484 -0.303 3.049
Ni -0.780 -0.908 1.421
```

=====

Record order is preserved below.
Theoretical density: 5.084 5.098 9.204 10.448 17.997 2.705 5.028 12.258 3.998 6.880 6.634 13.833 g/cm³